Computed, not measured: a relaxed structure of TiFeAsO2 at the PBE with a Hubbard U level of DFT.

The structure in POSCAR format:
```
TiFeAsO2
1.0
3.619 0.000 0.000
0.000 3.619 0.000
0.000 0.000 5.956
Ti Fe As O
1 1 1 2
Direct
0.000 0.000 0.000 Ti
0.000 0.000 0.500 Fe
0.500 0.500 0.000 As
0.000 0.500 0.500 O
0.500 0.000 0.500 O
```

Output
The space group is No. 123. The total energy comes out at -6.02 eV/atom.